Density functional theory data (GGA+U) for PuTlVO6 after structural relaxation.

For the total energy, the calculation gives -7.986 eV per atom. For the density of states at the Fermi level, the calculation gives 10.55 states/eV per cell. The theoretical density comes out at 5.752 g cm⁻³.

The structure belongs to space group C2 (No. 5); the cell edges are 5.162, 11.109 and 6.017 Å and the angles 90.00°, 94.98° and 90.00°. The inequivalent atoms are Pu at (0.000, 0.000, 0.000), Tl at (0.000, 0.290, 0.500), V at (0.000, 0.718, 0.000), O at (0.143, 0.823, 0.836), O at (0.241, 0.002, 0.235) and O at (0.248, 0.138, 0.847).